Compound: Ac2CdSi2
Source: Alexandria
Functional: GGA-PBE
Structure: optimized geometry

Structure (CIF):
```
data_Ac2CdSi2
_symmetry_space_group_name_H-M 'P 4/m b m'
_symmetry_Int_Tables_number 127
_symmetry_space_group_name_Hall '-P 4 2ab'
_cell_length_a 7.790
_cell_length_b 7.790
_cell_length_c 4.602
_cell_angle_alpha 90.00
_cell_angle_beta 90.00
_cell_angle_gamma 90.00
loop_
_atom_site_label
_atom_site_type_symbol
_atom_site_fract_x
_atom_site_fract_y
_atom_site_fract_z
Ac1 Ac 0.182 0.318 0.000
Cd1 Cd 0.000 0.000 0.500
Si1 Si 0.110 0.610 0.500
```

Summary:
Polymorph energy (0 for the lowest one), meV per atom: 10
Formation energy without anion corrections, eV/atom: -0.524